[1]
The following is a meta-GGA SCAN calculation of a crystal of NiRhPb2 relaxed with PBEsol, from Alexandria via LeMat-Bulk.

Unit cell a=4.6966 b=4.6678 c=4.6678 alpha=59.62 beta=59.80 gamma=59.80
Last column: nearest neighbours and their distance in Å.
Fractional coordinates of all 4 atoms:
Rh (0.5000, 0.0000, 0.0000)  8 Pb 2.85-2.87
Pb (0.7506, 0.2494, 0.2494)  4 Ni 2.85-2.87, 4 Rh 2.85-2.87
Pb (0.2494, 0.7506, 0.7506)  4 Ni 2.85-2.87, 4 Rh 2.85-2.87
Ni (0.0000, 0.5000, 0.5000)  8 Pb 2.85-2.87

## Properties
* ΔH_f (0 K): 0.318 eV/atom
* crystal system: orthorhombic
* energy above the lowest structure with this stoichiometry: 207 meV/atom


[2]
The following is a meta-GGA SCAN calculation of a crystal of BaLiSn2N relaxed with PBEsol, from Alexandria via LeMat-Bulk.

Unit cell a=3.9566 b=5.3848 c=5.3848 alpha=90.00 beta=90.00 gamma=90.00
Last column: nearest neighbours and their distance in Å.
Fractional coordinates of all 5 atoms:
N (0.5000, 0.0000, 0.0000)  2 Li 1.98
Ba (0.5000, 0.5000, 0.5000)  8 Sn 3.34
Sn (0.0000, 0.5000, 0.0000)  2 Li 2.69
Sn (0.0000, 0.0000, 0.5000)  2 Li 2.69
Li (0.0000, 0.0000, 0.0000)  2 N 1.98

## Properties
* formation energy without anion corrections: 0.425 eV per atom
* crystal system: tetragonal


It is found that the size of the total moment values, taken in the order of the records, are 0.00, 0.00 μB/f.u..